VASP calculation (PBE-GGA) on a geometry-optimized K2UAlTe4 structure.

Computed properties:
* total energy: -4.417 eV/atom
* Fermi-level density of states: 0.85 states/eV/f.u.
* raw formation energy: -0.69 eV/atom
* magnetization: 3.00 μB/f.u.
* SG: I-42m (121)

```
K2UAlTe4
1.0
-4.325 4.325 3.778
4.325 -4.325 3.778
4.325 4.325 -3.778
K U Al Te
2 1 1 4
Cartesian
4.325 0.000 0.000
0.000 4.325 0.000
0.000 0.000 0.000
0.000 0.000 3.778
2.796 2.796 -1.594
1.528 1.528 2.184
1.528 -1.528 5.372
-1.528 1.528 5.372
```